# 1
First-principles (PBE) data for an optimized crystal structure of EuDyAgRh, as listed in the Alexandria database.

Calculated values
**Final energy**: -6.696 eV per atom
**Energy of formation from the pure elements**: -0.426 eV per atom
**SG**: F-43m, No. 216
**Spin magnetization**: 7.05 μB/f.u.
**D(E_F)**: 1.607 states/eV per atom

Cell lengths 5.056, 5.056, 5.056 Å; angles 60.00, 60.00, 60.00 degrees
Each line ends with the local moment (μB).
Sites, in units of the cell vectors:
Eu: 0.250 0.250 0.250  6.78
Rh: 0.000 0.000 0.000  -0.10
Ag: 0.500 0.500 0.500  0.01
Dy: 0.750 0.750 0.750  0.08

***

# 2
First-principles (PBE) data for an optimized crystal structure of EuDySiAg, as listed in the Alexandria database.

Calculated values
**Final energy**: -6.200 eV per atom
**ΔE_f (raw)**: -0.41 eV/atom
**SG**: F-43m, No. 216
**Spin magnetization**: 7.26 μB/f.u.
**D(E_F)**: 1.698 states/eV per atom

Cell lengths 5.148, 5.148, 5.148 Å; angles 60.00, 60.00, 60.00 degrees
Each line ends with the local moment (μB).
Sites, in units of the cell vectors:
Eu: 0.000 0.000 0.000  6.83
Si: 0.750 0.750 0.750  -0.03
Ag: 0.250 0.250 0.250  0.02
Dy: 0.500 0.500 0.500  0.13

***

# 3
First-principles (PBE) data for an optimized crystal structure of DyAgF5, as listed in the Alexandria database.

Calculated values
**Final energy**: -5.158 eV per atom
**ΔE_f (raw)**: -2.76 eV/atom
**SG**: C2/c, No. 15
**Spin magnetization**: 1.02 μB/f.u.
**D(E_F)**: 0.160 states/eV per atom

Cell lengths 5.899, 5.899, 8.468 Å; angles 68.88, 68.88, 73.21 degrees
Each line ends with the local moment (μB).
Sites, in units of the cell vectors:
Dy: 0.000 0.000 0.000  0.04
Dy: 0.000 0.000 0.500  0.04
Ag: 0.516 0.484 0.250  0.60
Ag: 0.484 0.516 0.750  0.60
F: 0.770 0.716 0.135  0.11
F: 0.290 0.683 0.465  0.07
F: 0.716 0.770 0.635  0.11
F: 0.921 0.079 0.250  0.01
F: 0.317 0.710 0.035  0.07
F: 0.683 0.290 0.965  0.07
F: 0.079 0.921 0.750  0.01
F: 0.284 0.230 0.365  0.11
F: 0.710 0.317 0.535  0.07
F: 0.230 0.284 0.865  0.11

***

> Look up the D(E_F) of the third one.

0.160 states/eV per atom

***

Repeat the first record exactly.
First-principles (PBE) data for an optimized crystal structure of EuDyAgRh, as listed in the Alexandria database.

Calculated values
**Final energy**: -6.696 eV per atom
**Energy of formation from the pure elements**: -0.426 eV per atom
**SG**: F-43m, No. 216
**Spin magnetization**: 7.05 μB/f.u.
**D(E_F)**: 1.607 states/eV per atom

Cell lengths 5.056, 5.056, 5.056 Å; angles 60.00, 60.00, 60.00 degrees
Each line ends with the local moment (μB).
Sites, in units of the cell vectors:
Eu: 0.250 0.250 0.250  6.78
Rh: 0.000 0.000 0.000  -0.10
Ag: 0.500 0.500 0.500  0.01
Dy: 0.750 0.750 0.750  0.08